Here is a relaxed Rb3NaMn2F9 crystal from the Alexandria database. Energies are from GGA+U.

Density = 3.9 g/cm³
M_tot = 9.0 μB per formula unit
DFT total energy = -5.1243 eV/atom

Structure (CIF):
```
data_Rb3NaMn2F9
_chemical_formula_sum 'Rb3 Na1 Mn2 F9'
_symmetry_space_group_name_H-M 'P -3 m 1'
_symmetry_Int_Tables_number 164
_symmetry_space_group_name_Hall '-P 3 2"'
_cell_length_a 6.0532
_cell_length_b 6.0532
_cell_length_c 7.4661
_cell_angle_alpha 90.00
_cell_angle_beta 90.00
_cell_angle_gamma 120.00
loop_
_atom_site_label
_atom_site_type_symbol
_atom_site_fract_x
_atom_site_fract_y
_atom_site_fract_z
Rb1 Rb 0.0000 0.0000 0.0000
Rb2 Rb 0.3333 0.6667 0.6506
Na1 Na 0.0000 0.0000 0.5000
Mn1 Mn 0.3333 0.6667 0.1602
F1 F 0.0000 0.5000 0.0000
F2 F 0.1755 0.3510 0.3133
```